Model P:
Below is a geometry-optimized NdGdH structure, with properties calculated at the PBE level.

a b c (Å): 3.690 3.690 5.815
angles (deg): 90.00 90.00 120.00
Positions (direct):
Nd: 0.000 0.000 0.000
Gd: 0.333 0.667 0.484
H: 0.667 0.333 0.253

Output
SG: P3m1, No. 156
Calculated density (g/cm³): 7.33

Model Q:
Below is a geometry-optimized NdGdH structure, with properties calculated at the PBE level.

a b c (Å): 6.608 6.608 6.608
angles (deg): 149.71 149.71 43.37
Positions (direct):
Nd: 0.000 0.000 0.000
Gd: 0.288 0.288 0.000
H: 0.472 0.472 0.000

Output
SG: I4mm, No. 107
Calculated density (g/cm³): 6.86

The structure with the least stability is model Q.

Model P:
Below is a geometry-optimized Pr2GdH structure, with properties calculated at the PBE level.

a b c (Å): 3.459 3.459 8.756
angles (deg): 90.00 90.00 90.00
Positions (direct):
Pr: 0.000 0.000 0.188
Pr: 0.000 0.000 0.812
Gd: 0.500 0.500 0.500
H: 0.500 0.500 0.000

Output
SG: P4/mmm, No. 123
Calculated density (g/cm³): 6.98

Model Q:
Below is a geometry-optimized Pr2GdH structure, with properties calculated at the PBE level.

a b c (Å): 9.130 9.130 9.130
angles (deg): 23.50 23.50 23.50
Positions (direct):
Pr: 0.223 0.223 0.223
Pr: 0.777 0.777 0.777
Gd: 0.000 0.000 0.000
H: 0.500 0.500 0.500

Output
SG: R-3m, No. 166
Calculated density (g/cm³): 6.88

The structure with the least stability is model P.

Model P:
Below is a geometry-optimized GdHPt structure, with properties calculated at the PBE level.

a b c (Å): 6.740 6.740 4.341
angles (deg): 90.00 90.00 147.53
Positions (direct):
Gd: 0.118 0.882 0.750
Gd: 0.882 0.118 0.250
H: 0.298 0.702 0.750
H: 0.702 0.298 0.250
Pt: 0.428 0.572 0.750
Pt: 0.572 0.428 0.250

Output
SG: Cmcm, No. 63
Calculated density (g/cm³): 11.09

Model Q:
Below is a geometry-optimized GdHPt structure, with properties calculated at the PBE level.

a b c (Å): 3.996 3.996 3.588
angles (deg): 90.00 90.00 120.00
Positions (direct):
Gd: 0.000 0.000 0.000
H: 0.333 0.667 0.503
Pt: 0.667 0.333 0.500

Output
SG: P3m1, No. 156
Calculated density (g/cm³): 11.83

The structure with the least stability is model Q.